# FeSbIr2

An optimized crystal structure of FeSbIr2 (PBE-GGA, the Alexandria database).

a b c (Å): 5.425 5.425 11.712
angles (deg): 90.00 90.00 90.00
Sites, in units of the cell vectors:
Fe (0.000, 0.000, 0.000)
Fe (0.000, 0.500, 0.250)
Fe (0.500, 0.000, 0.750)
Fe (0.500, 0.500, 0.500)
Sb (0.000, 0.000, 0.500)
Sb (0.000, 0.500, 0.750)
Sb (0.500, 0.000, 0.250)
Sb (0.500, 0.500, 0.000)
Ir (0.196, 0.250, 0.125)
Ir (0.250, 0.696, 0.375)
Ir (0.250, 0.804, 0.875)
Ir (0.304, 0.250, 0.625)
Ir (0.696, 0.750, 0.625)
Ir (0.750, 0.196, 0.875)
Ir (0.750, 0.304, 0.375)
Ir (0.804, 0.750, 0.125)

The value obtained for the energy is -6.894 eV per atom. The density of states at the Fermi level is 16.65 states/eV per cell. The total magnetization comes out at 0.00 μB/atom. As for the space group: No. 122.